EuDy3C | PBE | relaxed

Values from the calculation:
* energy: -0.48793 Ry/atom
* crystal system: cubic
* energy of formation: 22 meV per atom

a b c (Å): 5.1036 5.1036 5.1036
angles (deg): 90.00 90.00 90.00
Closest atoms and distances in Å follow each position.
Atoms (fractional coordinates):
Eu 0.0000 0.0000 0.0000  12 Dy 3.61
Dy 0.0000 0.5000 0.5000  2 C 2.55
Dy 0.5000 0.0000 0.5000  2 C 2.55
Dy 0.5000 0.5000 0.0000  2 C 2.55
C 0.5000 0.5000 0.5000  6 Dy 2.55

***

ZrTlAu2 | PBE | relaxed

Values from the calculation:
* energy: -0.33401 Ry/atom
* crystal system: orthorhombic
* energy of formation: -177 meV per atom

a b c (Å): 4.4820 4.4820 4.1373
angles (deg): 90.00 90.00 90.22
Closest atoms and distances in Å follow each position.
Atoms (fractional coordinates):
Zr 0.0000 0.0000 0.0000  8 Au 3.05, 4 Tl 3.16-3.18
Tl 0.5000 0.5000 0.0000  8 Au 3.05, 4 Zr 3.16-3.18
Au 0.0000 0.5000 0.5000  4 Zr 3.05, 4 Tl 3.05, 4 Au 3.16-3.18
Au 0.5000 0.0000 0.5000  4 Zr 3.05, 4 Tl 3.05, 4 Au 3.16-3.18

***

Tb3HoAu4 | PBE | relaxed

Values from the calculation:
* energy: -0.35290 Ry/atom
* crystal system: orthorhombic
* energy of formation: -854 meV per atom

a b c (Å): 3.5852 5.1176 10.2367
angles (deg): 90.00 90.00 90.00
Closest atoms and distances in Å follow each position.
Atoms (fractional coordinates):
Tb 0.0000 0.0000 0.0000  8 Au 3.12-3.15
Tb 0.0000 0.5000 0.2506  8 Au 3.12-3.13
Tb 0.0000 0.5000 0.7494  8 Au 3.12-3.13
Ho 0.0000 0.0000 0.5000  8 Au 3.10-3.12
Au 0.5000 0.0000 0.2528  2 Ho 3.10, 6 Tb 3.12-3.15
Au 0.5000 0.0000 0.7472  2 Ho 3.10, 6 Tb 3.12-3.15
Au 0.5000 0.5000 0.0000  8 Tb 3.12-3.13
Au 0.5000 0.5000 0.5000  4 Tb 3.12, 4 Ho 3.12

***

- Which formula does entry 1 have?
  EuDy3C

***

- Which value of energy does entry 1 give?
  -0.48793 Ry/atom